(1)
U2AuF11 after structural relaxation, computed with GGA-PBE.

Cell and atoms, written as extended XYZ:
```
28
Lattice="-5.4600 5.4600 3.0822 5.4600 -5.4600 3.0822 5.4600 5.4600 -3.0822" Properties=species:S:1:pos:R:3 pbc="T T T"
U 7.0582 1.5982 0.0000
U 1.5982 3.8618 0.0000
U 3.8618 1.5982 3.0822
U -1.5982 3.8618 3.0822
Au 0.0000 0.0000 0.0000
Au 0.0000 0.0000 3.0822
F 2.7300 2.7300 -1.5411
F 2.7300 -2.7300 1.5411
F 5.4600 0.0000 0.0000
F 5.4600 -2.0377 1.5411
F 9.1895 1.2024 0.0000
F 1.2024 1.7305 0.0000
F 3.4223 0.0000 1.5411
F 7.4977 0.0000 1.5411
F 6.6624 3.7295 0.0000
F 3.7295 4.2576 0.0000
F 5.4600 2.0377 1.5411
F -2.7300 2.7300 1.5411
F 0.0000 5.4600 0.0000
F 2.7300 2.7300 1.5411
F 0.0000 3.4223 1.5411
F 1.7305 1.2024 3.0822
F -1.2024 1.7305 3.0822
F -2.0377 5.4600 1.5411
F 2.0377 5.4600 1.5411
F 4.2576 3.7295 3.0822
F -3.7295 4.2576 3.0822
F 0.0000 7.4977 1.5411
```

Calculated values
- DFT total energy: -6.2208 eV per atom



(2)
UAu2F2 after structural relaxation, computed with GGA-PBE.

Cell and atoms, written as extended XYZ:
```
5
Lattice="4.0519 0.0000 0.0000 0.0000 4.0519 0.0000 0.0000 0.0000 5.4795" Properties=species:S:1:pos:R:3 pbc="T T T"
U 0.0000 0.0000 0.0000
Au 2.0260 2.0260 1.3133
Au 2.0260 2.0260 4.1662
F 0.0000 2.0260 2.7398
F 2.0260 0.0000 2.7398
```

Calculated values
- DFT total energy: -5.0253 eV per atom